# 1
First-principles (PBE) data for a relaxed SmY2ErTm2 crystal, as listed in the Alexandria database.

Energy of formation = 162 meV/atom

Cell and atoms, written as POSCAR:
```
SmY2ErTm2
1.0
3.506 0.000 0.000
0.000 16.031 0.000
0.000 0.000 6.909
Tm Y Er Sm
4 4 2 2
Direct
0.500 0.850 0.249
0.500 0.150 0.751
0.000 0.350 0.251
0.000 0.650 0.749
0.000 0.663 0.250
0.500 0.837 0.750
0.500 0.163 0.250
0.000 0.337 0.750
0.000 0.000 0.000
0.500 0.500 0.500
0.000 0.000 0.500
0.500 0.500 0.000
```

=====

# 2
First-principles (PBE) data for a relaxed Sm2YEr2Tm crystal, as listed in the Alexandria database.

Energy of formation = 69 meV/atom

Cell and atoms, written as POSCAR:
```
Sm2YEr2Tm
1.0
5.613 0.000 0.000
0.000 6.976 0.000
0.000 0.000 9.719
Y Sm Tm Er
2 4 2 4
Direct
0.000 0.007 0.500
0.000 0.507 0.500
0.500 0.508 0.000
0.500 0.008 0.000
0.000 0.757 0.827
0.000 0.257 0.173
0.500 0.258 0.661
0.500 0.758 0.339
0.500 0.758 0.669
0.500 0.258 0.331
0.000 0.757 0.164
0.000 0.257 0.836
```

=====

# 3
First-principles (PBE) data for a relaxed Sm4YEr2Tm2 crystal, as listed in the Alexandria database.

Energy of formation = 22 meV/atom

Cell and atoms, written as POSCAR:
```
Sm4YEr2Tm2
1.0
-4.946 0.626 0.649
2.812 -4.292 6.099
1.202 7.695 1.741
Er Y Tm Sm
2 1 2 4
Direct
0.888 0.777 0.332
0.112 0.223 0.668
0.000 0.000 0.000
0.668 0.336 0.000
0.332 0.664 0.000
0.777 0.554 0.667
0.223 0.446 0.333
0.554 0.109 0.332
0.446 0.891 0.668
```

=====

# 4
First-principles (PBE) data for a relaxed SmYErTm3 crystal, as listed in the Alexandria database.

Energy of formation = 26 meV/atom

Cell and atoms, written as POSCAR:
```
SmYErTm3
1.0
-3.153 -1.907 -3.364
4.195 -5.911 3.120
-6.900 -1.142 7.115
Tm Sm Y Er
6 2 2 2
Direct
0.167 0.334 0.750
0.333 0.666 0.500
0.667 0.334 0.500
0.833 0.666 0.250
0.333 0.666 0.000
0.667 0.334 0.000
0.499 0.998 0.250
0.501 0.002 0.750
0.832 0.665 0.750
0.168 0.335 0.250
0.000 0.000 0.000
0.000 0.000 0.500
```

=====

# 5
First-principles (PBE) data for a relaxed SmY2Er4Tm2 crystal, as listed in the Alexandria database.

Energy of formation = 88 meV/atom

Cell and atoms, written as POSCAR:
```
SmY2Er4Tm2
1.0
0.309 -5.472 -3.789
6.216 -7.244 2.193
-4.898 1.655 4.112
Tm Er Y Sm
2 4 2 1
Direct
0.183 0.554 0.963
0.817 0.446 0.037
0.731 0.881 0.192
0.269 0.119 0.808
0.621 0.760 0.509
0.379 0.240 0.491
0.732 0.343 0.403
0.268 0.657 0.597
0.000 0.000 0.000
```

=====

# 6
First-principles (PBE) data for a relaxed Sm2YErTm crystal, as listed in the Alexandria database.

Energy of formation = 409 meV/atom

Cell and atoms, written as POSCAR:
```
Sm2YErTm
1.0
-7.182 -0.377 -0.642
0.436 -8.351 0.031
-0.729 4.170 5.702
Y Sm Tm Er
2 4 2 2
Direct
0.250 0.262 0.524
0.750 0.738 0.476
0.000 0.306 0.000
0.500 0.306 0.000
0.500 0.694 0.000
0.000 0.694 0.000
0.750 0.018 0.036
0.250 0.982 0.964
0.750 0.285 0.570
0.250 0.715 0.430
```

=====

# 7
First-principles (PBE) data for a relaxed SmY5ErTm2 crystal, as listed in the Alexandria database.

Energy of formation = 158 meV/atom

Cell and atoms, written as POSCAR:
```
SmY5ErTm2
1.0
-3.806 -3.428 2.255
0.477 -2.599 -10.093
7.530 -6.949 2.145
Tm Y Er Sm
4 10 2 2
Direct
0.888 0.776 0.817
0.110 0.221 0.737
0.112 0.224 0.317
0.890 0.779 0.237
0.016 0.032 0.022
0.388 0.776 0.025
0.278 0.555 0.315
0.699 0.398 0.205
0.612 0.224 0.525
0.722 0.445 0.815
0.984 0.968 0.522
0.301 0.602 0.705
0.521 0.042 0.238
0.479 0.958 0.738
0.588 0.176 0.951
0.412 0.824 0.451
0.804 0.608 0.514
0.196 0.392 0.014
```

=====

# 8
First-principles (PBE) data for a relaxed Sm2Y6Er3Tm crystal, as listed in the Alexandria database.

Energy of formation = 23 meV/atom

Cell and atoms, written as POSCAR:
```
Sm2Y6Er3Tm
1.0
-2.029 2.072 -5.433
0.728 -6.048 0.906
-10.518 0.570 5.305
Y Er Sm Tm
6 3 2 1
Direct
0.084 0.417 0.252
0.417 0.084 0.252
0.916 0.583 0.748
0.752 0.752 0.252
0.248 0.248 0.748
0.583 0.916 0.748
0.166 0.834 0.500
0.834 0.166 0.500
0.500 0.500 0.500
0.333 0.667 0.000
0.667 0.333 0.000
0.000 0.000 0.000
```